P | A plane-wave DFT calculation with PBE was carried out for an optimized crystal structure of VCuNi3.

Computed properties:
Space-group type: P-1
Spin magnetization in μB per cell: 0.00

Cell: 2.4821 6.4544 7.5755 Å, 72.94 89.98 89.95°
Closest atoms and distances in Å follow each position.
Element x y z (fractional)
V 0.2485 0.2903 0.0403  6 Ni 2.30-2.54, 2 V 2.48
V 0.7515 0.7097 0.9597  6 Ni 2.30-2.54, 2 V 2.48
Cu 0.2490 0.2984 0.5665  8 Ni 2.40-2.58, 2 Cu 2.48
Cu 0.7510 0.7016 0.4335  8 Ni 2.40-2.58, 2 Cu 2.48
Ni 0.2499 0.8810 0.6497  8 Ni 2.48-2.65, 3 Cu 2.58, 2 V 2.60
Ni 0.2507 0.9121 0.1509  3 V 2.34-2.54, 7 Ni 2.48-2.61, 2 Cu 2.50
Ni 0.2521 0.4933 0.2443  3 V 2.30-2.53, 3 Cu 2.40-2.56, 2 Ni 2.48
Ni 0.7479 0.5067 0.7557  3 V 2.30-2.53, 3 Cu 2.40-2.56, 2 Ni 2.48
Ni 0.7493 0.0879 0.8491  3 V 2.34-2.54, 7 Ni 2.48-2.61, 2 Cu 2.50
Ni 0.7501 0.1190 0.3503  8 Ni 2.48-2.65, 3 Cu 2.58, 2 V 2.60

=====

Q | A plane-wave DFT calculation with PBE was carried out for an optimized crystal structure of VCuNi3.

Computed properties:
Space-group type: Cmcm
Spin magnetization in μB per cell: 0.00

Cell: 6.4804 6.4804 4.4060 Å, 90.00 90.00 137.74°
Closest atoms and distances in Å follow each position.
Element x y z (fractional)
V 0.1859 0.8141 0.7500  8 Ni 2.31-2.54
V 0.8141 0.1859 0.2500  8 Ni 2.31-2.54
Cu 0.4397 0.5603 0.2500  2 Cu 2.64, 10 Ni 2.68-2.77, 2 V 2.79
Cu 0.5603 0.4397 0.7500  2 Cu 2.64, 10 Ni 2.68-2.77, 2 V 2.79
Ni 0.0000 0.0000 0.0000  6 Ni 2.20-2.41
Ni 0.0000 0.0000 0.5000  6 Ni 2.20-2.41
Ni 0.1049 0.4016 0.7500  4 Ni 2.31-2.41, 3 V 2.31-2.54
Ni 0.4016 0.1049 0.2500  4 Ni 2.31-2.41, 3 V 2.31-2.54
Ni 0.5984 0.8951 0.7500  4 Ni 2.31-2.41, 3 V 2.31-2.54
Ni 0.8951 0.5984 0.2500  4 Ni 2.31-2.41, 3 V 2.31-2.54

=====

Most favorable structure: P. The second most favorable one is 0.206 eV/atom above it.

=====

P | A plane-wave DFT calculation with PBE was carried out for an optimized crystal structure of VCu2Ni8.

Computed properties:
Space-group type: C2/m
Spin magnetization in μB per cell: 0.04

Cell: 6.5090 6.5090 4.2034 Å, 104.51 104.51 121.89°
Closest atoms and distances in Å follow each position.
Element x y z (fractional)
V 0.0000 0.0000 0.0000  4 Ni 2.30-2.32
Cu 0.3069 0.6931 0.5000  8 Ni 2.40-2.50
Cu 0.6931 0.3069 0.5000  8 Ni 2.40-2.50
Ni 0.1013 0.3256 0.6533  5 Ni 2.31-2.57, 2 Cu 2.40-2.50
Ni 0.2035 0.7965 0.0000  1 V 2.32, 2 Cu 2.41, 2 Ni 2.57
Ni 0.3256 0.1013 0.6533  5 Ni 2.31-2.57, 2 Cu 2.40-2.50
Ni 0.4138 0.4138 0.1958  6 Ni 2.20-2.46, 1 V 2.30, 2 Cu 2.46
Ni 0.5862 0.5862 0.8042  6 Ni 2.20-2.46, 1 V 2.30, 2 Cu 2.46
Ni 0.6744 0.8987 0.3467  5 Ni 2.31-2.57, 2 Cu 2.40-2.50
Ni 0.7965 0.2035 0.0000  1 V 2.32, 2 Cu 2.41, 2 Ni 2.57
Ni 0.8987 0.6744 0.3467  5 Ni 2.31-2.57, 2 Cu 2.40-2.50

=====

Q | A plane-wave DFT calculation with PBE was carried out for an optimized crystal structure of VCu2Ni8.

Computed properties:
Space-group type: Cmmm
Spin magnetization in μB per cell: 1.95

Cell: 5.9585 5.9585 3.7997 Å, 90.00 90.00 105.39°
Closest atoms and distances in Å follow each position.
Element x y z (fractional)
V 0.0000 0.0000 0.0000  12 Ni 2.31-2.58
Cu 0.3779 0.6221 0.5000  8 Ni 2.29-2.54, 1 Cu 2.32
Cu 0.6221 0.3779 0.5000  8 Ni 2.29-2.54, 1 Cu 2.32
Ni 0.0367 0.2997 0.5000  2 Cu 2.40-2.63, 7 Ni 2.43-2.55, 2 V 2.58
Ni 0.2436 0.7564 0.0000  2 Cu 2.29, 1 V 2.31, 4 Ni 2.49
Ni 0.2997 0.0367 0.5000  2 Cu 2.40-2.63, 7 Ni 2.43-2.55, 2 V 2.58
Ni 0.3298 0.3298 0.0000  1 V 2.38, 5 Ni 2.46-2.55, 4 Cu 2.54
Ni 0.6702 0.6702 0.0000  1 V 2.38, 5 Ni 2.46-2.55, 4 Cu 2.54
Ni 0.7003 0.9633 0.5000  2 Cu 2.40-2.63, 7 Ni 2.43-2.55, 2 V 2.58
Ni 0.7564 0.2436 0.0000  2 Cu 2.29, 1 V 2.31, 4 Ni 2.49
Ni 0.9633 0.7003 0.5000  2 Cu 2.40-2.63, 7 Ni 2.43-2.55, 2 V 2.58

=====

Most favorable structure: Q. The second most favorable one is 0.041 eV/atom above it.

=====

P | A plane-wave DFT calculation with PBE was carried out for an optimized crystal structure of V3CuNi.

Computed properties:
Space-group type: Pm-3m
Spin magnetization in μB per cell: 0.24

Cell: 4.3177 4.3177 4.3177 Å, 90.00 90.00 90.00°
Closest atoms and distances in Å follow each position.
Element x y z (fractional)
V 0.0000 0.0000 0.5000  2 Ni 2.16
V 0.0000 0.5000 0.0000  2 Ni 2.16
V 0.5000 0.0000 0.0000  2 Ni 2.16
Cu 0.5000 0.5000 0.5000  12 V 3.05
Ni 0.0000 0.0000 0.0000  6 V 2.16

=====

Q | A plane-wave DFT calculation with PBE was carried out for an optimized crystal structure of V3CuNi.

Computed properties:
Space-group type: Pm-3m
Spin magnetization in μB per cell: 4.30

Cell: 4.3745 4.3745 4.3745 Å, 90.00 90.00 90.00°
Closest atoms and distances in Å follow each position.
Element x y z (fractional)
V 0.0000 0.0000 0.5000  2 Cu 2.19
V 0.0000 0.5000 0.0000  2 Cu 2.19
V 0.5000 0.0000 0.0000  2 Cu 2.19
Cu 0.0000 0.0000 0.0000  6 V 2.19
Ni 0.5000 0.5000 0.5000  12 V 3.09

=====

Most favorable structure: P. The second most favorable one is 0.352 eV/atom above it.

=====

P | A plane-wave DFT calculation with PBE was carried out for an optimized crystal structure of V2CuNi4.

Computed properties:
Space-group type: C2/m
Spin magnetization in μB per cell: 0.00

Cell: 6.4680 6.4680 8.2552 Å, 129.61 129.61 43.00°
Closest atoms and distances in Å follow each position.
Element x y z (fractional)
V 0.0000 0.0000 0.0000  8 Ni 2.41-2.68
V 0.0000 0.0000 0.5000  8 Ni 2.40-2.68
V 0.0000 0.5000 0.0000  6 Ni 2.26-2.50, 2 V 2.37
V 0.5000 0.0000 0.0000  6 Ni 2.26-2.50, 2 V 2.37
Cu 0.2368 0.2368 0.4873  6 Ni 2.36-2.51, 2 Cu 2.38
Cu 0.7632 0.7632 0.5127  6 Ni 2.36-2.51, 2 Cu 2.38
Ni 0.2522 0.7323 0.7422  3 V 2.26-2.41, 2 Ni 2.28-2.47, 2 Cu 2.36-2.51
Ni 0.2677 0.7478 0.2578  3 V 2.26-2.41, 2 Ni 2.28-2.47, 2 Cu 2.36-2.51
Ni 0.3577 0.3577 0.3490  1 Cu 2.39, 3 Ni 2.50-2.64, 2 V 2.50
Ni 0.3578 0.3578 0.8669  1 Cu 2.38, 3 Ni 2.50-2.64, 2 V 2.50
Ni 0.6422 0.6422 0.1331  1 Cu 2.38, 3 Ni 2.50-2.64, 2 V 2.50
Ni 0.6423 0.6423 0.6510  1 Cu 2.39, 3 Ni 2.50-2.64, 2 V 2.50
Ni 0.7323 0.2522 0.7422  3 V 2.26-2.41, 2 Ni 2.28-2.47, 2 Cu 2.36-2.51
Ni 0.7478 0.2677 0.2578  3 V 2.26-2.41, 2 Ni 2.28-2.47, 2 Cu 2.36-2.51

=====

Q | A plane-wave DFT calculation with PBE was carried out for an optimized crystal structure of V2CuNi4.

Computed properties:
Space-group type: I4/mmm
Spin magnetization in μB per cell: 2.63

Cell: 6.5146 6.5146 6.5146 Å, 141.65 141.65 55.36°
Closest atoms and distances in Å follow each position.
Element x y z (fractional)
V 0.1102 0.1102 0.0000  1 Ni 2.18
V 0.8898 0.8898 0.0000  1 Ni 2.18
Cu 0.5000 0.5000 0.0000  6 Ni 2.14-2.32
Ni 0.0000 0.5000 0.5000  2 Cu 2.14
Ni 0.2993 0.2993 0.0000  1 V 2.18, 1 Cu 2.32
Ni 0.5000 0.0000 0.5000  2 Cu 2.14
Ni 0.7007 0.7007 0.0000  1 V 2.18, 1 Cu 2.32

=====

Most favorable structure: P. The second most favorable one is 0.830 eV/atom above it.

=====

P | A plane-wave DFT calculation with PBE was carried out for an optimized crystal structure of V2CuNi2.

Computed properties:
Space-group type: P4/mbm
Spin magnetization in μB per cell: 0.00

Cell: 6.9619 6.9619 2.5706 Å, 90.00 90.00 90.00°
Closest atoms and distances in Å follow each position.
Element x y z (fractional)
V 0.1712 0.3288 0.0000  6 Ni 2.38-2.45, 2 V 2.57
V 0.3288 0.8288 0.0000  6 Ni 2.38-2.45, 2 V 2.57
V 0.6712 0.1712 0.0000  6 Ni 2.38-2.45, 2 V 2.57
V 0.8288 0.6712 0.0000  6 Ni 2.38-2.45, 2 V 2.57
Cu 0.0000 0.0000 0.5000  2 Cu 2.57, 4 Ni 2.75
Cu 0.5000 0.5000 0.5000  2 Cu 2.57, 4 Ni 2.75
Ni 0.1255 0.6255 0.5000  6 V 2.38-2.45, 3 Ni 2.47-2.57
Ni 0.3745 0.1255 0.5000  6 V 2.38-2.45, 3 Ni 2.47-2.57
Ni 0.6255 0.8745 0.5000  6 V 2.38-2.45, 3 Ni 2.47-2.57
Ni 0.8745 0.3745 0.5000  6 V 2.38-2.45, 3 Ni 2.47-2.57

=====

Q | A plane-wave DFT calculation with PBE was carried out for an optimized crystal structure of V2CuNi2.

Computed properties:
Space-group type: P4/mbm
Spin magnetization in μB per cell: 0.00

Cell: 7.1254 7.1254 2.5116 Å, 90.00 90.00 90.00°
Closest atoms and distances in Å follow each position.
Element x y z (fractional)
V 0.1198 0.3802 0.0000  6 Ni 2.41-2.49, 3 V 2.41-2.51
V 0.3802 0.8802 0.0000  6 Ni 2.41-2.49, 3 V 2.41-2.51
V 0.6198 0.1198 0.0000  6 Ni 2.41-2.49, 3 V 2.41-2.51
V 0.8802 0.6198 0.0000  6 Ni 2.41-2.49, 3 V 2.41-2.51
Cu 0.0000 0.0000 0.0000  2 Cu 2.51
Cu 0.5000 0.5000 0.0000  2 Cu 2.51
Ni 0.1759 0.6759 0.5000  6 V 2.41-2.49, 2 Ni 2.51
Ni 0.3241 0.1759 0.5000  6 V 2.41-2.49, 2 Ni 2.51
Ni 0.6759 0.8241 0.5000  6 V 2.41-2.49, 2 Ni 2.51
Ni 0.8241 0.3241 0.5000  6 V 2.41-2.49, 2 Ni 2.51

=====

Most favorable structure: P. The second most favorable one is 0.133 eV/atom above it.

=====

P | A plane-wave DFT calculation with PBE was carried out for an optimized crystal structure of Cu3NiW.

Computed properties:
Space-group type: Pm-3m
Spin magnetization in μB per cell: 0.60

Cell: 4.6468 4.6468 4.6468 Å, 90.00 90.00 90.00°
Closest atoms and distances in Å follow each position.
Element x y z (fractional)
Cu 0.0000 0.0000 0.5000  2 W 2.32
Cu 0.0000 0.5000 0.0000  2 W 2.32
Cu 0.5000 0.0000 0.0000  2 W 2.32
Ni 0.5000 0.5000 0.5000  12 Cu 3.29
W 0.0000 0.0000 0.0000  6 Cu 2.32

=====

Q | A plane-wave DFT calculation with PBE was carried out for an optimized crystal structure of Cu3NiW.

Computed properties:
Space-group type: Pm-3m
Spin magnetization in μB per cell: 2.26

Cell: 4.2394 4.2394 4.2394 Å, 90.00 90.00 90.00°
Closest atoms and distances in Å follow each position.
Element x y z (fractional)
Cu 0.0000 0.0000 0.5000  2 Ni 2.12
Cu 0.0000 0.5000 0.0000  2 Ni 2.12
Cu 0.5000 0.0000 0.0000  2 Ni 2.12
Ni 0.0000 0.0000 0.0000  6 Cu 2.12
W 0.5000 0.5000 0.5000  12 Cu 3.00

=====

Most favorable structure: Q. The second most favorable one is 0.531 eV/atom above it.